[1]
{"formula": "Pm2YThN4", "functional": "PBE", "state": "optimized geometry", "total_magnetization_mub_per_fu": 0.00, "vol_a3_per_cell": 132, "e_tot_ev_per_fu": -69.21, "raw_formation_energy_mev_per_atom": -1566, "crystal_system": "monoclinic", "cell": [[6.211, 0.000, 0.000], [0.000, 3.604, 0.000], [-2.060, 0.000, 5.878]], "species": ["Pm", "Pm", "Y", "Th", "N", "N", "N", "N"], "frac_coords": [[0.000, 0.000, 0.000], [0.500, 0.500, 0.000], [0.000, 0.500, 0.500], [0.500, 0.000, 0.500], [0.248, 0.000, 0.740], [0.253, 0.500, 0.260], [0.747, 0.500, 0.740], [0.752, 0.000, 0.260]]}

***

[2]
{"formula": "LiInOs2", "functional": "PBE", "state": "optimized geometry", "total_magnetization_mub_per_fu": 0.01, "vol_a3_per_cell": 63, "e_tot_ev_per_fu": -23.99, "crystal_system": "tetragonal", "cell": [[2.744, 0.000, 0.000], [0.000, 2.744, 0.000], [0.000, 0.000, 8.410]], "species": ["Li", "In", "Os", "Os"], "frac_coords": [[0.000, 0.000, 0.000], [0.000, 0.000, 0.500], [0.500, 0.500, 0.243], [0.500, 0.500, 0.757]]}

***

[3]
{"formula": "MgCoRuW2", "functional": "PBE", "state": "optimized geometry", "total_magnetization_mub_per_fu": 0.03, "vol_a3_per_cell": 101, "e_tot_ev_per_fu": -34.74, "crystal_system": "tetragonal", "cell": [[4.665, 0.000, 0.000], [0.000, 4.665, 0.000], [0.000, 0.000, 4.652]], "species": ["Mg", "Co", "Ru", "W", "W"], "frac_coords": [[0.000, 0.000, 0.000], [0.500, 0.500, 0.000], [0.000, 0.000, 0.500], [0.000, 0.500, 0.500], [0.500, 0.000, 0.500]]}

***

[4]
{"formula": "MgTe2AuN", "functional": "PBE", "state": "optimized geometry", "total_magnetization_mub_per_fu": 0.83, "relative_energy_kj_per_mol_atoms": 0.0, "vol_a3_per_cell": 126, "e_tot_ev_per_fu": -16.11, "raw_formation_energy_mev_per_atom": 675, "crystal_system": "tetragonal", "cell": [[5.726, 0.000, 0.000], [0.000, 5.726, 0.000], [0.000, 0.000, 3.837]], "species": ["Mg", "Te", "Te", "Au", "N"], "frac_coords": [[0.000, 0.000, 0.000], [0.000, 0.500, 0.500], [0.500, 0.000, 0.500], [0.500, 0.500, 0.500], [0.500, 0.500, 0.000]]}